[1]
Material: Pm3SmHo2Se6
Method: DFT, PBE
State: optimized geometry

abc: 18.1015 4.1204 8.3557
angles: 90.00 103.94 90.00
Last column: nearest neighbours and their distance in Å.
Space group C2/m (No. 12)
Symmetry-distinct sites (fractional):
Pm 0.0000 0.0000 0.0000 x2  6 Se 2.94-2.99
Pm 0.1639 0.5000 0.3335 x4  6 Se 2.95-3.00
Sm 0.0000 0.0000 0.5000 x2  6 Se 2.93-2.95
Ho 0.1657 0.5000 0.8313 x4  6 Se 2.84-2.89
Se 0.0040 0.5000 0.7507 x4  1 Ho 2.84, 2 Sm 2.93, 3 Pm 2.94-2.95
Se 0.1677 0.0000 0.5931 x4  2 Ho 2.87, 1 Sm 2.95, 3 Pm 2.96-2.98
Se 0.1701 0.0000 0.0761 x4  3 Ho 2.89, 3 Pm 2.99-3.00

DOS at the Fermi energy = 11.3 states/eV per cell
E = -5.88 eV/atom


[2]
Material: LaEr2Zr
Method: DFT, PBE
State: optimized geometry

abc: 4.8977 4.8977 4.9153
angles: 90.00 90.00 90.00
Last column: nearest neighbours and their distance in Å.
Space group P4/mmm (No. 123)
Symmetry-distinct sites (fractional):
La 0.0000 0.0000 0.0000 x1  4 Zr 3.46, 8 Er 3.47
Er 0.0000 0.5000 0.5000 x2  4 Er 3.46, 4 Zr 3.47, 4 La 3.47
Zr 0.5000 0.5000 0.0000 x1  4 La 3.46, 8 Er 3.47

DOS at the Fermi energy = 4.9 states/eV per cell
E above lowest polymorph = 27 meV/atom


[3]
Material: Zr2MnSi3Ir4
Method: DFT, PBE
State: optimized geometry

abc: 4.0204 4.0204 9.9045
angles: 90.00 90.00 90.00
Last column: nearest neighbours and their distance in Å.
Space group P-4m2 (No. 115)
Symmetry-distinct sites (fractional):
Zr 0.0000 0.5000 0.2505 x2  8 Ir 3.07-3.19, 6 Si 3.07-3.19, 2 Mn 3.19
Mn 0.0000 0.0000 0.5000 x1  4 Ir 2.41
Si 0.0000 0.5000 0.8662 x2  5 Ir 2.30-2.41
Si 0.5000 0.5000 0.5000 x1  4 Ir 2.41
Ir 0.0000 0.0000 0.0000 x1  4 Si 2.41
Ir 0.0000 0.5000 0.6336 x2  3 Si 2.30-2.41, 2 Mn 2.41
Ir 0.5000 0.5000 0.0000 x1  4 Si 2.41

DOS at the Fermi energy = 6.0 states/eV per cell
E = -8.60 eV/atom


[4]
Material: K2ZnSF
Method: DFT, PBE
State: optimized geometry

abc: 6.0444 6.0444 4.6994
angles: 90.00 90.00 90.00
Last column: nearest neighbours and their distance in Å.
Space group P4/mmm (No. 123)
Symmetry-distinct sites (fractional):
K 0.0000 0.5000 0.0000 x2  2 S 3.02
Zn 0.0000 0.0000 0.5000 x1  2 S 2.35
S 0.0000 0.0000 0.0000 x1  2 Zn 2.35
F 0.5000 0.5000 0.5000 x1  8 K 3.83, 4 Zn 4.27

DOS at the Fermi energy = 0.4 states/eV per cell
E = -3.00 eV/atom


> The lowest DOS at the Fermi energy belongs to which entry?

K2ZnSF


> Among the records above, which one has the lowest DOS at the Fermi energy?

K2ZnSF


> The lowest DOS at the Fermi energy belongs to which entry?

K2ZnSF